AcPrPt2: optimized geometry, PBE.

a = 4.6344 Å, b = 4.0546 Å, c = 11.2581 Å
α = 90.00°, β = 90.00°, γ = 90.00°
Positions (direct):
Ac  0.0000  0.0000  0.0000
Ac  0.0000  0.5000  0.5000
Pr  0.5000  0.0000  0.7288
Pr  0.5000  0.5000  0.2288
Pt  0.0000  0.0000  0.2731
Pt  0.0000  0.5000  0.7731
Pt  0.5000  0.0000  0.4522
Pt  0.5000  0.5000  0.9522

Summary:
- Space-group type: Amm2 (38)
- Offset from the most stable computed form: 6.1 meV/atom
- Formation energy: -1.129 eV per atom


AcPrPt2: optimized geometry, PBE.

a = 5.9932 Å, b = 4.6278 Å, c = 8.0994 Å
α = 90.00°, β = 109.75°, γ = 90.00°
Positions (direct):
Ac  0.2266  0.2500  0.4274
Ac  0.7734  0.7500  0.5726
Pr  0.2312  0.2500  0.9356
Pr  0.7688  0.7500  0.0644
Pt  0.3161  0.7500  0.1956
Pt  0.3245  0.7500  0.7145
Pt  0.6755  0.2500  0.2855
Pt  0.6839  0.2500  0.8044

Summary:
- Space-group type: P2_1/m (11)
- Offset from the most stable computed form: 0.0 meV/atom
- Formation energy: -1.135 eV per atom


Ac3PrPt4: optimized geometry, PBE.

a = 6.1559 Å, b = 6.1559 Å, c = 6.1559 Å
α = 90.00°, β = 90.00°, γ = 90.00°
Positions (direct):
Ac  0.0000  0.0000  0.5000
Ac  0.0000  0.5000  0.0000
Ac  0.5000  0.0000  0.0000
Pr  0.5000  0.5000  0.5000
Pt  0.0000  0.0000  0.0000
Pt  0.0000  0.5000  0.5000
Pt  0.5000  0.0000  0.5000
Pt  0.5000  0.5000  0.0000

Summary:
- Space-group type: Pm-3m (221)
- Formation energy: -1.130 eV per atom


no.,total magnetic moment (μB/atom),calculated volume (A^3/atom),total DFT energy (no corrections) (eV/atom)
1,0.0000,26.44,-6.37
2,0.0000,26.43,-6.38
3,0.0000,29.16,-6.29